Record 1
The following is a DFT calculation (PBE) of a relaxed structure of Ac2SmPb2.

Space-group type: No. 12
Excess energy over the best structure of this formula in the dataset (eV per atom): 0.044

Unit cell a=7.2345 b=7.2345 c=12.1520 alpha=115.23 beta=115.23 gamma=40.70
Last column: nearest neighbours and their distance in Å.
Positions (direct):
Ac 0.0124 0.0124 0.1811  6 Pb 3.47-3.76, 2 Sm 3.84
Ac 0.1827 0.1827 0.5932  6 Pb 3.52-3.89
Ac 0.8173 0.8173 0.4068  6 Pb 3.52-3.89
Ac 0.9876 0.9876 0.8189  6 Pb 3.47-3.76, 2 Sm 3.84
Sm 0.2835 0.2835 0.1383  4 Pb 3.12-3.29
Sm 0.7165 0.7165 0.8617  4 Pb 3.12-3.29
Pb 0.3682 0.3682 0.9282  3 Sm 3.12-3.24, 1 Pb 3.19
Pb 0.4740 0.4740 0.6152  1 Pb 3.18, 1 Sm 3.29, 4 Ac 3.47-3.52
Pb 0.5260 0.5260 0.3848  1 Pb 3.18, 1 Sm 3.29, 4 Ac 3.47-3.52
Pb 0.6318 0.6318 0.0718  3 Sm 3.12-3.24, 1 Pb 3.19



Record 2
The following is a DFT calculation (PBE) of a relaxed structure of AcSm5Pb6.

Space-group type: No. 12
Excess energy over the best structure of this formula in the dataset (eV per atom): 0.008

Unit cell a=8.0263 b=8.0263 c=8.7648 alpha=94.59 beta=94.59 gamma=135.75
Last column: nearest neighbours and their distance in Å.
Positions (direct):
Ac 0.0000 0.0000 0.0000  6 Pb 3.43-3.44
Sm 0.0000 0.0000 0.5000  6 Pb 3.24-3.31
Sm 0.3295 0.6705 0.0000  6 Pb 3.27-3.34
Sm 0.3407 0.6593 0.5000  6 Pb 3.26-3.34
Sm 0.6593 0.3407 0.5000  6 Pb 3.26-3.34
Sm 0.6705 0.3295 0.0000  6 Pb 3.27-3.34
Pb 0.1652 0.8202 0.2600  5 Sm 3.26-3.34, 1 Ac 3.44
Pb 0.1798 0.8348 0.7400  5 Sm 3.26-3.34, 1 Ac 3.44
Pb 0.4772 0.4772 0.7521  5 Sm 3.24-3.32, 1 Ac 3.43
Pb 0.5228 0.5228 0.2479  5 Sm 3.24-3.32, 1 Ac 3.43
Pb 0.8202 0.1652 0.2600  5 Sm 3.26-3.34, 1 Ac 3.44
Pb 0.8348 0.1798 0.7400  5 Sm 3.26-3.34, 1 Ac 3.44



Record 3
The following is a DFT calculation (PBE) of a relaxed structure of AcSmPb.

Space-group type: No. 107
Excess energy over the best structure of this formula in the dataset (eV per atom): 0.142

Unit cell a=6.2266 b=6.2266 c=6.2266 alpha=139.43 beta=139.43 gamma=58.72
Last column: nearest neighbours and their distance in Å.
Positions (direct):
Ac 0.0000 0.0000 0.0000  5 Sm 3.35-3.69, 5 Pb 3.56-3.58
Sm 0.6912 0.6912 0.0000  5 Ac 3.35-3.69, 4 Pb 3.40
Pb 0.3284 0.3284 0.0000  4 Sm 3.40, 5 Ac 3.56-3.58



Record 4
The following is a DFT calculation (PBE) of a relaxed structure of Ac5Sm2Pb5.

Space-group type: No. 12

Unit cell a=8.2857 b=8.2857 c=13.6461 alpha=109.69 beta=109.69 gamma=33.39
Last column: nearest neighbours and their distance in Å.
Positions (direct):
Ac 0.0000 0.0000 0.0000  4 Pb 3.39
Ac 0.1626 0.1626 0.5415  5 Pb 3.41-3.62
Ac 0.2313 0.2313 0.8474  5 Pb 3.31-3.55
Ac 0.7687 0.7687 0.1526  5 Pb 3.31-3.55
Ac 0.8374 0.8374 0.4585  5 Pb 3.41-3.62
Sm 0.4504 0.4504 0.7078  4 Pb 3.09-3.21
Sm 0.5496 0.5496 0.2922  4 Pb 3.09-3.21
Pb 0.1839 0.1839 0.2871  2 Sm 3.21, 2 Ac 3.55
Pb 0.3887 0.3887 0.0832  1 Sm 3.09, 5 Ac 3.31-3.39
Pb 0.5000 0.5000 0.5000  2 Sm 3.20, 4 Ac 3.41
Pb 0.6113 0.6113 0.9168  1 Sm 3.09, 5 Ac 3.31-3.39
Pb 0.8161 0.8161 0.7129  2 Sm 3.21, 2 Ac 3.55



Record 5
The following is a DFT calculation (PBE) of a relaxed structure of Ac2Sm5Pb4.

Space-group type: No. 12

Unit cell a=14.0052 b=14.0052 c=7.7210 alpha=91.54 beta=91.54 gamma=15.12
Last column: nearest neighbours and their distance in Å.
Positions (direct):
Ac 0.2321 0.2321 0.2202  3 Pb 3.44-3.48, 2 Ac 3.69
Ac 0.7679 0.7679 0.7798  3 Pb 3.44-3.48, 2 Ac 3.69
Sm 0.0871 0.0871 0.2945  4 Pb 3.31, 2 Sm 3.69
Sm 0.1365 0.1365 0.8408  3 Pb 3.18-3.25
Sm 0.5000 0.5000 0.0000  4 Pb 3.29, 2 Sm 3.69
Sm 0.8635 0.8635 0.1592  3 Pb 3.18-3.25
Sm 0.9129 0.9129 0.7055  4 Pb 3.31, 2 Sm 3.69
Pb 0.0314 0.0314 0.6681  1 Pb 3.09, 5 Sm 3.18-3.31
Pb 0.3335 0.3335 0.4855  4 Sm 3.25-3.31, 3 Ac 3.44-3.48
Pb 0.6665 0.6665 0.5145  4 Sm 3.25-3.31, 3 Ac 3.44-3.48
Pb 0.9686 0.9686 0.3319  1 Pb 3.09, 5 Sm 3.18-3.31



Record 6
The following is a DFT calculation (PBE) of a relaxed structure of Ac4SmPb5.

Space-group type: No. 123

Unit cell a=3.8250 b=3.8250 c=23.4058 alpha=90.00 beta=90.00 gamma=90.00
Last column: nearest neighbours and their distance in Å.
Positions (direct):
Ac 0.0000 0.0000 0.1023  8 Pb 3.61, 4 Ac 3.83
Ac 0.0000 0.0000 0.3066  8 Pb 3.61, 4 Ac 3.83
Ac 0.0000 0.0000 0.6934  8 Pb 3.61, 4 Ac 3.83
Ac 0.0000 0.0000 0.8977  8 Pb 3.61, 4 Ac 3.83
Sm 0.0000 0.0000 0.5000  8 Pb 3.45, 4 Sm 3.83
Pb 0.5000 0.5000 0.0000  8 Ac 3.61, 4 Pb 3.83
Pb 0.5000 0.5000 0.2043  8 Ac 3.61, 4 Pb 3.83
Pb 0.5000 0.5000 0.4088  4 Sm 3.45, 4 Ac 3.61, 4 Pb 3.83
Pb 0.5000 0.5000 0.5912  4 Sm 3.45, 4 Ac 3.61, 4 Pb 3.83
Pb 0.5000 0.5000 0.7957  8 Ac 3.61, 4 Pb 3.83



Record 7
The following is a DFT calculation (PBE) of a relaxed structure of Ac3Sm4Pb4.

Space-group type: No. 71

Unit cell a=17.7774 b=17.7774 c=17.7774 alpha=165.95 beta=163.25 gamma=21.93
Last column: nearest neighbours and their distance in Å.
Positions (direct):
Ac 0.0000 0.0000 0.0000  8 Pb 3.75, 4 Sm 3.96
Ac 0.3540 0.8540 0.5000  4 Pb 3.65, 6 Sm 3.83-3.93
Ac 0.6460 0.1460 0.5000  4 Pb 3.65, 6 Sm 3.83-3.93
Sm 0.0947 0.5947 0.5000  3 Pb 3.08-3.16
Sm 0.2602 0.2602 0.0000  4 Pb 3.22-3.40, 4 Sm 3.46
Sm 0.7398 0.7398 0.0000  4 Pb 3.22-3.40, 4 Sm 3.46
Sm 0.9053 0.4053 0.5000  3 Pb 3.08-3.16
Pb 0.1851 0.6851 0.5000  5 Sm 3.16-3.40
Pb 0.4533 0.4533 0.0000  2 Sm 3.08, 1 Pb 3.26
Pb 0.5467 0.5467 0.0000  2 Sm 3.08, 1 Pb 3.26
Pb 0.8149 0.3149 0.5000  5 Sm 3.16-3.40



Record 8
The following is a DFT calculation (PBE) of a relaxed structure of Ac2SmPb2.

Space-group type: No. 127
Excess energy over the best structure of this formula in the dataset (eV per atom): 0.000

Unit cell a=8.5935 b=8.5935 c=4.9432 alpha=90.00 beta=90.00 gamma=90.00
Last column: nearest neighbours and their distance in Å.
Positions (direct):
Ac 0.1705 0.3295 0.0000  6 Pb 3.43-3.61
Ac 0.3295 0.8295 0.0000  6 Pb 3.43-3.61
Ac 0.6705 0.1705 0.0000  6 Pb 3.43-3.61
Ac 0.8295 0.6705 0.0000  6 Pb 3.43-3.61
Sm 0.0000 0.0000 0.5000  4 Pb 3.35
Sm 0.5000 0.5000 0.5000  4 Pb 3.35
Pb 0.1338 0.6338 0.5000  1 Pb 3.25, 2 Sm 3.35, 6 Ac 3.43-3.61
Pb 0.3662 0.1338 0.5000  1 Pb 3.25, 2 Sm 3.35, 6 Ac 3.43-3.61
Pb 0.6338 0.8662 0.5000  1 Pb 3.25, 2 Sm 3.35, 6 Ac 3.43-3.61
Pb 0.8662 0.3662 0.5000  1 Pb 3.25, 2 Sm 3.35, 6 Ac 3.43-3.61



Record 9
The following is a DFT calculation (PBE) of a relaxed structure of AcSmPb.

Space-group type: No. 12
Excess energy over the best structure of this formula in the dataset (eV per atom): 0.000

Unit cell a=4.8742 b=4.8742 c=9.0889 alpha=90.03 beta=90.03 gamma=89.98
Last column: nearest neighbours and their distance in Å.
Positions (direct):
Ac 0.2495 0.2495 0.1495  5 Pb 3.54-3.55
Ac 0.7505 0.7505 0.8505  5 Pb 3.54-3.55
Sm 0.2500 0.7500 0.5000  4 Pb 3.39, 4 Sm 3.45
Sm 0.7500 0.2500 0.5000  4 Pb 3.39, 4 Sm 3.45
Pb 0.2506 0.2506 0.7591  4 Sm 3.39, 5 Ac 3.54-3.55
Pb 0.7494 0.7494 0.2409  4 Sm 3.39, 5 Ac 3.54-3.55



Record 10
The following is a DFT calculation (PBE) of a relaxed structure of Ac2SmPb3.

Space-group type: No. 63
Excess energy over the best structure of this formula in the dataset (eV per atom): 0.081

Unit cell a=8.6677 b=8.6677 c=6.5166 alpha=90.00 beta=90.00 gamma=69.59
Last column: nearest neighbours and their distance in Å.
Positions (direct):
Ac 0.0390 0.6648 0.7500  5 Pb 3.41-3.53
Ac 0.3352 0.9610 0.7500  5 Pb 3.41-3.53
Ac 0.6648 0.0390 0.2500  5 Pb 3.41-3.53
Ac 0.9610 0.3352 0.2500  5 Pb 3.41-3.53
Sm 0.3997 0.6003 0.2500  5 Pb 3.13-3.23
Sm 0.6003 0.3997 0.7500  5 Pb 3.13-3.23
Pb 0.0835 0.9165 0.2500  1 Sm 3.13, 2 Ac 3.41
Pb 0.3167 0.3167 0.0000  2 Sm 3.23, 2 Pb 3.26, 4 Ac 3.44-3.53
Pb 0.3167 0.3167 0.5000  2 Sm 3.23, 2 Pb 3.26, 4 Ac 3.44-3.53
Pb 0.6833 0.6833 0.0000  2 Sm 3.23, 2 Pb 3.26, 4 Ac 3.44-3.53
Pb 0.6833 0.6833 0.5000  2 Sm 3.23, 2 Pb 3.26, 4 Ac 3.44-3.53
Pb 0.9165 0.0835 0.7500  1 Sm 3.13, 2 Ac 3.41



Record 11
The following is a DFT calculation (PBE) of a relaxed structure of Ac7SmPb5.

Space-group type: No. 44

Unit cell a=9.1145 b=9.1145 c=9.1145 alpha=134.97 beta=99.86 gamma=97.01
Last column: nearest neighbours and their distance in Å.
Positions (direct):
Ac 0.0000 0.0000 0.0000  1 Sm 3.92, 9 Ac 3.97-4.27, 4 Pb 4.04
Ac 0.2360 0.5560 0.6800  5 Pb 3.50-3.68, 1 Ac 3.67
Ac 0.3539 0.3539 0.0000  6 Pb 3.57-3.65, 1 Sm 3.89
Ac 0.3776 0.0417 0.3359  5 Pb 3.55-3.72, 5 Ac 3.74-3.97
Ac 0.7058 0.0417 0.6641  5 Pb 3.55-3.72, 5 Ac 3.74-3.97
Ac 0.8072 0.3072 0.5000  4 Pb 3.35, 4 Ac 3.67-3.74
Ac 0.8760 0.5560 0.3200  5 Pb 3.50-3.68, 1 Ac 3.67
Sm 0.6758 0.6758 0.0000  4 Pb 3.56, 4 Ac 3.83-3.92
Pb 0.0366 0.0338 0.4722  2 Pb 3.28-3.49, 4 Ac 3.35-3.65, 1 Sm 3.56
Pb 0.0366 0.5644 0.0028  2 Pb 3.28-3.49, 4 Ac 3.35-3.65, 1 Sm 3.56
Pb 0.2912 0.7912 0.5000  4 Pb 3.49, 6 Ac 3.54-3.59
Pb 0.5616 0.0338 0.9972  2 Pb 3.28-3.49, 4 Ac 3.35-3.65, 1 Sm 3.56
Pb 0.5616 0.5644 0.5278  2 Pb 3.28-3.49, 4 Ac 3.35-3.65, 1 Sm 3.56



Record 12
The following is a DFT calculation (PBE) of a relaxed structure of Ac2Sm3Pb2.

Space-group type: No. 12

Unit cell a=6.8884 b=6.8884 c=9.1008 alpha=110.66 beta=110.66 gamma=39.50
Last column: nearest neighbours and their distance in Å.
Positions (direct):
Ac 0.1427 0.1427 0.2993  4 Pb 3.51-3.86, 4 Sm 3.84-3.91
Ac 0.8573 0.8573 0.7007  4 Pb 3.51-3.86, 4 Sm 3.84-3.91
Sm 0.3748 0.3748 0.0546  3 Pb 3.27-3.30
Sm 0.5000 0.5000 0.5000  4 Pb 3.23
Sm 0.6252 0.6252 0.9454  3 Pb 3.27-3.30
Pb 0.1586 0.1586 0.7150  5 Sm 3.23-3.30, 2 Ac 3.51
Pb 0.8414 0.8414 0.2850  5 Sm 3.23-3.30, 2 Ac 3.51



Number 1: raw total energy -4.536 eV per atom, DOS(E_F) 0.92 states/eV per atom, magnetic moment 0.00 μB per cell. Number 2: raw total energy -4.631 eV per atom, DOS(E_F) 0.83 states/eV per atom, magnetic moment 0.00 μB per cell. Number 3: raw total energy -4.466 eV per atom, DOS(E_F) 1.33 states/eV per atom, magnetic moment 0.00 μB per cell. Number 4: raw total energy -4.444 eV per atom, DOS(E_F) 0.50 states/eV per atom, magnetic moment 1.02 μB per cell. Number 5: raw total energy -4.370 eV per atom, DOS(E_F) 1.20 states/eV per atom, magnetic moment 0.00 μB per cell. Number 6: raw total energy -4.453 eV per atom, DOS(E_F) 0.76 states/eV per atom, magnetic moment 0.00 μB per cell. Number 7: raw total energy -4.487 eV per atom, DOS(E_F) 1.20 states/eV per atom, magnetic moment 0.36 μB per cell. Number 8: raw total energy -4.580 eV per atom, DOS(E_F) 1.14 states/eV per atom, magnetic moment 0.00 μB per cell. Number 9: raw total energy -4.608 eV per atom, DOS(E_F) 1.43 states/eV per atom, magnetic moment 1.50 μB per cell. Number 10: raw total energy -4.395 eV per atom, DOS(E_F) 0.72 states/eV per atom, magnetic moment 0.00 μB per cell. Number 11: raw total energy -4.308 eV per atom, DOS(E_F) 0.99 states/eV per atom, magnetic moment 0.00 μB per cell. Number 12: raw total energy -4.579 eV per atom, DOS(E_F) 1.33 states/eV per atom, magnetic moment 0.99 μB per cell.